Entry 1:
The following is a PBE calculation of a relaxed structure of Ba3Te5, from the Alexandria database.

Output
ΔE_f (raw) in eV/f.u.: -9.49
Distance to the lowest polymorph of the same formula in meV per atom: 0
Total DFT energy (no corrections) in eV/atom: -3.8711

Cell: 7.051 10.163 10.445 Å, 88.30 72.81 72.92°
Space group P1 (No. 1)
Inequivalent atoms, fractional coordinates:
1 Ba 0.000 0.000 0.000
2 Ba 0.023 0.244 0.326
3 Ba 0.231 0.485 0.680
4 Ba 0.504 0.490 0.092
5 Ba 0.529 0.062 0.908
6 Ba 0.562 0.887 0.452
7 Te 0.000 0.590 0.400
8 Te 0.086 0.341 0.995
9 Te 0.098 0.849 0.682
10 Te 0.289 0.869 0.216
11 Te 0.432 0.756 0.795
12 Te 0.566 0.176 0.243
13 Te 0.628 0.542 0.399
14 Te 0.662 0.177 0.601
15 Te 0.707 0.768 0.067
16 Te 0.850 0.273 0.786



Entry 2:
The following is a PBE calculation of a relaxed structure of BaTe2, from the Alexandria database.

Output
N(E_F) in states/eV per cell: 22.7
ΔE_f (raw) in eV/f.u.: -2.25
Total DFT energy (no corrections) in eV/atom: -3.4840

Cell: 8.104 8.104 8.104 Å, 90.00 90.00 90.00°
Space group Fm-3m (No. 225)
Inequivalent atoms, fractional coordinates:
1 Ba 0.000 0.000 0.000
2 Te 0.250 0.250 0.250



Entry 3:
The following is a PBE calculation of a relaxed structure of Ba5Te4, from the Alexandria database.

Output
N(E_F) in states/eV per cell: 3.1
ΔE_f (raw) in eV/f.u.: -10.65
Total DFT energy (no corrections) in eV/atom: -3.6474

Cell: 12.711 12.711 5.326 Å, 90.00 90.00 90.00°
Space group I4/mmm (No. 139)
Inequivalent atoms, fractional coordinates:
1 Ba 0.000 0.000 0.000
2 Ba 0.171 0.171 0.500
3 Te 0.000 0.265 0.000



Entry 4:
The following is a PBE calculation of a relaxed structure of Ba3Te4, from the Alexandria database.

Output
N(E_F) in states/eV per cell: 2.3
ΔE_f (raw) in eV/f.u.: -6.96
Total DFT energy (no corrections) in eV/atom: -3.6138

Cell: 8.0520 8.0520 5.5019 Å, 90.00 90.00 120.00°
Space group P6/mmm (No. 191)
Inequivalent atoms, fractional coordinates:
1 Ba 0.0000 0.5000 0.0000
2 Te 0.0000 0.0000 0.2612
3 Te 0.3333 0.6667 0.5000



Entry 5:
The following is a PBE calculation of a relaxed structure of BaTe, from the Alexandria database.

Output
N(E_F) in states/eV per cell: 0.6
ΔE_f (raw) in eV/f.u.: -1.88
Total DFT energy (no corrections) in eV/atom: -3.4715

Cell: 8.411 8.411 8.411 Å, 90.00 90.00 90.00°
Space group Fd-3m (No. 227, origin choice 2)
Inequivalent atoms, fractional coordinates:
1 Ba 0.125 0.125 0.125
2 Te 0.125 0.125 0.625



Entry 6:
The following is a PBE calculation of a relaxed structure of Ba3Te5, from the Alexandria database.

Output
N(E_F) in states/eV per cell: 5.6
ΔE_f (raw) in eV/f.u.: -9.45
Distance to the lowest polymorph of the same formula in meV per atom: 5
Total DFT energy (no corrections) in eV/atom: -3.8664

Cell: 8.391 11.267 6.281 Å, 90.00 90.00 90.00°
Space group Cmmm (No. 65)
Inequivalent atoms, fractional coordinates:
1 Ba 0.000 0.000 0.000
2 Ba 0.000 0.293 0.500
3 Te 0.000 0.500 0.000
4 Te 0.178 0.000 0.500
5 Te 0.250 0.250 0.000



Entry 7:
The following is a PBE calculation of a relaxed structure of Ba2Te, from the Alexandria database.

Output
N(E_F) in states/eV per cell: 13.3
ΔE_f (raw) in eV/f.u.: -2.89
Total DFT energy (no corrections) in eV/atom: -3.2916

Cell: 8.520 8.520 8.520 Å, 90.00 90.00 90.00°
Space group Pa-3 (No. 205)
Inequivalent atoms, fractional coordinates:
1 Ba 0.152 0.152 0.152
2 Te 0.000 0.000 0.500



Entry 8:
The following is a PBE calculation of a relaxed structure of BaTe2, from the Alexandria database.

Output
ΔE_f (raw) in eV/f.u.: -3.31
Total DFT energy (no corrections) in eV/atom: -3.8375

Cell: 11.543 5.136 8.659 Å, 90.00 91.14 90.00°
Space group Cm (No. 8)
Inequivalent atoms, fractional coordinates:
1 Ba 0.000 0.000 0.000
2 Ba 0.194 0.000 0.459
3 Te 0.083 0.500 0.708
4 Te 0.312 0.000 0.071
5 Te 0.324 0.500 0.665
6 Te 0.474 0.000 0.327



Entry 9:
The following is a PBE calculation of a relaxed structure of BaTe, from the Alexandria database.

Output
N(E_F) in states/eV per cell: 0.0
ΔE_f (raw) in eV/f.u.: -3.58
Total DFT energy (no corrections) in eV/atom: -4.3236

Cell: 7.083 7.083 7.083 Å, 90.00 90.00 90.00°
Space group Fm-3m (No. 225)
Inequivalent atoms, fractional coordinates:
1 Ba 0.000 0.000 0.000
2 Te 0.000 0.000 0.500



Entry 10:
The following is a PBE calculation of a relaxed structure of BaTe, from the Alexandria database.

Output
N(E_F) in states/eV per cell: 0.0
ΔE_f (raw) in eV/f.u.: -2.36
Total DFT energy (no corrections) in eV/atom: -3.7130

Cell: 5.7253 5.7253 36.8116 Å, 90.00 90.00 120.00°
Space group R-3m (No. 166, hexagonal axes)
Inequivalent atoms, fractional coordinates:
1 Ba 0.0000 0.0000 0.0927
2 Te 0.0000 0.0000 0.4259



Entry 11:
The following is a PBE calculation of a relaxed structure of BaTe, from the Alexandria database.

Output
N(E_F) in states/eV per cell: 0.0
ΔE_f (raw) in eV/f.u.: -2.94
Total DFT energy (no corrections) in eV/atom: -3.9999

Cell: 5.8736 5.8736 26.6731 Å, 90.00 90.00 120.00°
Space group R-3m (No. 166, hexagonal axes)
Inequivalent atoms, fractional coordinates:
1 Ba 0.0000 0.0000 0.2286
2 Te 0.0000 0.0000 0.0998



Entry 12:
The following is a PBE calculation of a relaxed structure of BaTe2, from the Alexandria database.

Output
ΔE_f (raw) in eV/f.u.: -3.16
Total DFT energy (no corrections) in eV/atom: -3.7887

Cell: 6.273 8.666 5.375 Å, 90.00 90.00 90.00°
Space group Pnnm (No. 58)
Inequivalent atoms, fractional coordinates:
1 Ba 0.000 0.000 0.000
2 Te 0.164 0.391 0.000